[1]
DFT (GGA-PBE) results for an optimized crystal structure of LiCeCd.

```
6
Lattice="-3.5968 -1.4281 3.0762 -0.3861 -4.7496 1.3159 2.9955 -0.8554 7.0777" Properties=species:S:1:pos:R:3 pbc="T T T"
Li -0.8235 -1.9188 2.1186
Li -0.1639 -5.1142 9.3511
Ce 1.1279 -1.3755 4.6525
Ce -2.1153 -5.6576 6.8172
Cd 0.5032 -3.2389 7.0294
Cd -1.4907 -3.7941 4.4403
```

Properties
Formation energy ... 0.056 eV per formula unit
Offset from the most stable computed form ... 143.7 meV/atom

***

[2]
DFT (GGA-PBE) results for an optimized crystal structure of Pm6Pr8Pb.

```
15
Lattice="6.7710 0.0000 0.0000 0.0000 8.2210 -4.7464 0.0000 0.0000 9.4927" Properties=species:S:1:pos:R:3 pbc="T T T"
Pm 4.4883 5.3438 -2.2000
Pm 4.4883 7.4543 0.9815
Pm 4.4883 3.6438 1.2185
Pm 2.2828 2.8772 6.9463
Pm 2.2828 0.7667 3.7649
Pm 2.2828 4.5771 3.5279
Pr 5.5735 0.3309 2.3842
Pr 5.5735 5.9907 3.8408
Pr 5.5735 1.8993 8.0141
Pr 1.1975 7.8901 2.3621
Pr 1.1975 2.2302 0.9055
Pr 1.1975 6.3216 -3.2677
Pr 5.9195 2.7403 4.7464
Pr 0.8516 5.4806 0.0000
Pb 3.3855 0.0000 0.0000
```

Properties
Formation energy ... 0.693 eV per formula unit

***

[3]
DFT (GGA-PBE) results for an optimized crystal structure of Sr2HoN.

```
4
Lattice="3.6850 0.0000 0.0000 1.8425 3.1913 0.0000 1.8425 1.0638 10.3548" Properties=species:S:1:pos:R:3 pbc="T T T"
Sr 1.8425 1.0638 6.5879
Sr 5.5275 3.1913 3.7669
Ho 0.0000 0.0000 0.0000
N 3.6850 2.1275 5.1774
```

***

Total magnetization: 0.83 0.00 0.00 (μB/cell)
V: 25.4 35.2 30.4 (A^3/atom)
E_tot: -17.4 -69.8 -17.1 (eV/cell)